No. 1
A plane-wave DFT calculation with PBE-GGA was carried out for a relaxed CaSc2Ga4 crystal.

```
data_CaSc2Ga4
_chemical_formula_sum 'Ca2 Sc4 Ga8'
_cell_length_a 3.7528
_cell_length_b 4.2181
_cell_length_c 18.3121
_cell_angle_alpha 90.00
_cell_angle_beta 90.00
_cell_angle_gamma 90.00
_symmetry_space_group_name_H-M 'I m m m'
_symmetry_Int_Tables_number 71
_symmetry_space_group_name_Hall '-I 2 2'
loop_
_atom_site_label
_atom_site_fract_x
_atom_site_fract_y
_atom_site_fract_z
Ca1 0.0000 0.0000 0.0000
Sc1 0.0000 0.5000 0.1924
Ga1 0.0000 0.0000 0.4287
Ga2 0.0000 0.5000 0.3468
```

* DFT formation energy: -0.53 eV per atom
* ρ: 4.68 g/cm³
* raw total energy: -4.352 eV per atom

=====

No. 2
A plane-wave DFT calculation with PBE-GGA was carried out for a relaxed CaSc2Ga3 crystal.

```
data_CaSc2Ga3
_chemical_formula_sum 'Ca1 Sc2 Ga3'
_cell_length_a 3.4381
_cell_length_b 3.4381
_cell_length_c 10.4775
_cell_angle_alpha 90.00
_cell_angle_beta 90.00
_cell_angle_gamma 90.00
_symmetry_space_group_name_H-M 'P 4/m m m'
_symmetry_Int_Tables_number 123
_symmetry_space_group_name_Hall '-P 4 2'
loop_
_atom_site_label
_atom_site_fract_x
_atom_site_fract_y
_atom_site_fract_z
Ca1 0.0000 0.0000 0.0000
Sc1 0.0000 0.0000 0.3431
Ga1 0.5000 0.5000 0.1912
Ga2 0.5000 0.5000 0.5000
```

* DFT formation energy: -0.53 eV per atom
* ρ: 4.55 g/cm³
* raw total energy: -4.491 eV per atom

=====

No. 3
A plane-wave DFT calculation with PBE-GGA was carried out for a relaxed CaScGa crystal.

```
data_CaScGa
_chemical_formula_sum 'Ca6 Sc6 Ga6'
_cell_length_a 4.8341
_cell_length_b 4.8341
_cell_length_c 24.2059
_cell_angle_alpha 90.00
_cell_angle_beta 90.00
_cell_angle_gamma 120.00
_symmetry_space_group_name_H-M 'R 3 m'
_symmetry_Int_Tables_number 160
_symmetry_space_group_name_Hall 'R 3 -2"'
loop_
_atom_site_label
_atom_site_fract_x
_atom_site_fract_y
_atom_site_fract_z
Ca1 0.0000 0.0000 0.0000
Ca2 0.0000 0.0000 0.4328
Sc1 0.0000 0.0000 0.2509
Sc2 0.0000 0.0000 0.8544
Ga1 0.0000 0.0000 0.1401
Ga2 0.0000 0.0000 0.5860
```

* DFT formation energy: -0.28 eV per atom
* ρ: 3.15 g/cm³
* E above lowest polymorph: 123 meV/atom
* raw total energy: -4.064 eV per atom

=====

No. 4
A plane-wave DFT calculation with PBE-GGA was carried out for a relaxed CaScGa crystal.

```
data_CaScGa
_chemical_formula_sum 'Ca2 Sc2 Ga2'
_cell_length_a 4.9557
_cell_length_b 4.9557
_cell_length_c 6.8311
_cell_angle_alpha 90.00
_cell_angle_beta 90.00
_cell_angle_gamma 120.00
_symmetry_space_group_name_H-M 'P 3 m 1'
_symmetry_Int_Tables_number 156
loop_
_symmetry_equiv_pos_as_xyz
'x,y,z'
'-y,x-y,z'
'-x+y,-x,z'
'-y,-x,z'
'-x+y,y,z'
'x,x-y,z'
loop_
_atom_site_label
_atom_site_fract_x
_atom_site_fract_y
_atom_site_fract_z
Ca1 0.0000 0.0000 0.0000
Ca2 0.3333 0.6667 0.2562
Sc1 0.0000 0.0000 0.5099
Sc2 0.6667 0.3333 0.7234
Ga1 0.3333 0.6667 0.7392
Ga2 0.6667 0.3333 0.3034
```

* DFT formation energy: -0.34 eV per atom
* ρ: 3.54 g/cm³
* E above lowest polymorph: 61 meV/atom
* raw total energy: -4.126 eV per atom

=====

No. 5
A plane-wave DFT calculation with PBE-GGA was carried out for a relaxed CaScGa crystal.

```
data_CaScGa
_chemical_formula_sum 'Ca4 Sc4 Ga4'
_cell_length_a 9.2714
_cell_length_b 6.2845
_cell_length_c 6.7078
_cell_angle_alpha 90.00
_cell_angle_beta 128.21
_cell_angle_gamma 90.00
_symmetry_space_group_name_H-M 'C 1 2/m 1'
_symmetry_Int_Tables_number 12
loop_
_symmetry_equiv_pos_as_xyz
'x,y,z'
'-x,-y,-z'
'-x,y,-z'
'x,-y,z'
'x+1/2,y+1/2,z'
'-x+1/2,-y+1/2,-z'
'-x+1/2,y+1/2,-z'
'x+1/2,-y+1/2,z'
loop_
_atom_site_label
_atom_site_fract_x
_atom_site_fract_y
_atom_site_fract_z
Ca1 0.1934 0.0000 0.0310
Sc1 0.1731 0.5000 0.3655
Ga1 0.0000 0.2156 0.5000
```

* DFT formation energy: -0.29 eV per atom
* ρ: 3.35 g/cm³
* E above lowest polymorph: 112 meV/atom
* raw total energy: -4.076 eV per atom

=====

No. 6
A plane-wave DFT calculation with PBE-GGA was carried out for a relaxed CaScGa crystal.

```
data_CaScGa
_chemical_formula_sum 'Ca2 Sc2 Ga2'
_cell_length_a 5.0401
_cell_length_b 5.0401
_cell_length_c 10.5954
_cell_angle_alpha 90.00
_cell_angle_beta 90.00
_cell_angle_gamma 120.00
_symmetry_space_group_name_H-M 'P 63/m m c'
_symmetry_Int_Tables_number 194
_symmetry_space_group_name_Hall '-P 6c 2c'
loop_
_atom_site_label
_atom_site_fract_x
_atom_site_fract_y
_atom_site_fract_z
Ca1 0.3333 0.6667 0.2500
Sc1 0.0000 0.0000 0.0000
Ga1 0.0000 0.0000 0.2500
```

* DFT formation energy: 0.47 eV per atom
* ρ: 2.20 g/cm³
* E above lowest polymorph: 873 meV/atom
* raw total energy: -3.314 eV per atom

=====

No. 7
A plane-wave DFT calculation with PBE-GGA was carried out for a relaxed CaScGa crystal.

```
data_CaScGa
_chemical_formula_sum 'Ca4 Sc4 Ga4'
_cell_length_a 3.5584
_cell_length_b 3.5584
_cell_length_c 24.7741
_cell_angle_alpha 90.00
_cell_angle_beta 90.00
_cell_angle_gamma 90.00
_symmetry_space_group_name_H-M 'I 4/m m m'
_symmetry_Int_Tables_number 139
_symmetry_space_group_name_Hall '-I 4 2'
loop_
_atom_site_label
_atom_site_fract_x
_atom_site_fract_y
_atom_site_fract_z
Ca1 0.0000 0.0000 0.0745
Sc1 0.0000 0.0000 0.2110
Ga1 0.0000 0.0000 0.3457
```

* DFT formation energy: -0.32 eV per atom
* ρ: 3.28 g/cm³
* E above lowest polymorph: 83 meV/atom
* raw total energy: -4.104 eV per atom

=====

No. 8
A plane-wave DFT calculation with PBE-GGA was carried out for a relaxed CaScGa crystal.

```
data_CaScGa
_chemical_formula_sum 'Ca4 Sc4 Ga4'
_cell_length_a 3.7338
_cell_length_b 15.6269
_cell_length_c 5.0969
_cell_angle_alpha 90.00
_cell_angle_beta 90.00
_cell_angle_gamma 90.00
_symmetry_space_group_name_H-M 'C m c m'
_symmetry_Int_Tables_number 63
_symmetry_space_group_name_Hall '-C 2c 2'
loop_
_atom_site_label
_atom_site_fract_x
_atom_site_fract_y
_atom_site_fract_z
Ca1 0.0000 0.0739 0.2500
Sc1 0.0000 0.2311 0.7500
Ga1 0.0000 0.3995 0.2500
```

* DFT formation energy: -0.32 eV per atom
* ρ: 3.46 g/cm³
* E above lowest polymorph: 85 meV/atom
* raw total energy: -4.103 eV per atom

=====

Which of these has the lowest raw total energy? CaSc2Ga3